PrPu2FeN4, optimized geometry, DFT PBE; space group = No. 63; E = -10.45 eV/atom; magnetic moment = 10.0 μB per cell
1.0
-2.529 2.332 -0.254
0.209 -2.894 -5.229
-7.477 -7.678 3.950
Pu N Pr Fe
4 8 2 2
direct
0.369 0.737 0.945
0.631 0.263 0.055
0.369 0.737 0.555
0.631 0.263 0.445
0.560 0.120 0.250
0.264 0.528 0.387
0.440 0.880 0.750
0.000 0.000 0.000
0.000 0.000 0.500
0.736 0.472 0.613
0.264 0.528 0.113
0.736 0.472 0.887
0.102 0.203 0.750
0.898 0.797 0.250
0.162 0.324 0.250
0.838 0.676 0.750

***

NaTcMo2, optimized geometry, DFT PBE; relative energy among the computed polymorphs = 288.0 meV per atom; space group = No. 122; energy of formation = 1.133 eV/atom; magnetic moment = 0.0 μB per cell
1.0
-5.347 -0.899 4.923
1.584 -7.138 0.418
-0.109 -3.507 4.689
Na Tc Mo
2 2 4
direct
0.500 0.500 0.000
0.250 0.750 0.500
0.000 0.000 0.000
0.750 0.250 0.500
0.875 0.922 0.750
0.672 0.125 0.250
0.078 0.625 0.250
0.375 0.328 0.750

***

Rb3TbPa3Se8, optimized geometry, DFT PBE; space group = No. 166; E = -5.70 eV/atom; magnetic moment = 5.0 μB per cell
1.0
8.341 0.000 0.000
-4.171 7.224 -0.029
0.000 -4.784 8.271
Se Tb Pa Rb
8 1 3 3
direct
0.731 0.964 0.696
0.233 0.466 0.696
0.734 0.468 0.701
0.767 0.036 0.304
0.233 0.964 0.696
0.266 0.532 0.299
0.767 0.534 0.304
0.269 0.036 0.304
0.000 0.000 0.500
0.000 0.500 0.500
0.500 0.500 0.500
0.500 0.000 0.500
0.000 0.000 0.000
0.000 0.500 0.000
0.500 0.500 0.000

***

LiIrCl2, optimized geometry, DFT PBE; relative energy among the computed polymorphs = 327.6 meV per atom; space group = No. 38; magnetic moment = 0.0 μB per cell
1.0
5.676 0.028 -0.003
4.779 3.062 -0.003
0.002 0.001 3.928
Cl Ir Li
2 1 1
direct
0.004 0.004 0.875
0.271 0.271 0.375
0.504 0.504 0.375
0.720 0.720 0.875

***

La2ScAgN, optimized geometry, DFT PBE; space group = No. 123; E = -6.19 eV/atom; magnetic moment = 0.0 μB per cell
1.0
5.271 0.000 0.000
0.000 5.271 0.000
0.000 0.000 4.284
N Ag Sc La
1 1 1 2
direct
0.000 0.000 0.000
0.500 0.500 0.500
0.000 0.000 0.500
0.500 0.000 0.000
0.000 0.500 0.000

***

Pr4SbAs2, optimized geometry, DFT PBE; space group = No. 63; E = -5.84 eV/atom; magnetic moment = 1.1 μB per cell
1.0
4.349 0.000 0.000
-2.175 7.064 0.000
0.000 0.000 14.255
Sb Pr As
2 8 4
direct
0.607 0.214 0.750
0.393 0.786 0.250
0.231 0.463 0.881
0.945 0.891 0.750
0.231 0.463 0.619
0.769 0.537 0.119
0.500 0.000 0.000
0.500 0.000 0.500
0.769 0.537 0.381
0.055 0.109 0.250
0.136 0.273 0.061
0.864 0.727 0.939
0.136 0.273 0.439
0.864 0.727 0.561

***

Which formula does entry 4 have?
LiIrCl2

***

Which formula does entry 6 have?
Pr4SbAs2

***

Which formula does entry 1 have?
PrPu2FeN4

***

Copy entry 5 word for word.
La2ScAgN, optimized geometry, DFT PBE; space group = No. 123; E = -6.19 eV/atom; magnetic moment = 0.0 μB per cell
1.0
5.271 0.000 0.000
0.000 5.271 0.000
0.000 0.000 4.284
N Ag Sc La
1 1 1 2
direct
0.000 0.000 0.000
0.500 0.500 0.500
0.000 0.000 0.500
0.500 0.000 0.000
0.000 0.500 0.000